*P*
A plane-wave DFT calculation with PBE-GGA was carried out for an optimized crystal structure of LaTb6Tm2.

```
data_LaTb6Tm2
_chemical_formula_sum 'La4 Tb24 Tm8'
_space_group_name_H-M_alt 'C 1 2/c 1'
_space_group_IT_number 15
_space_group_name_Hall '-C 2yc'
_cell_length_a 12.8240
_cell_length_b 14.1508
_cell_length_c 6.6100
_cell_angle_alpha 90.00
_cell_angle_beta 103.18
_cell_angle_gamma 90.00
loop_
_atom_site_label
_atom_site_type_symbol
_atom_site_fract_x
_atom_site_fract_y
_atom_site_fract_z
La1 La 0.0000 0.1229 0.2500
Tb1 Tb 0.0356 0.3161 0.0006
Tb2 Tb 0.1376 0.0860 0.8220
Tb3 Tb 0.2382 0.3000 0.7271
Tm1 Tm 0.1387 0.4761 0.3646
```


*Q*
A plane-wave DFT calculation with PBE-GGA was carried out for an optimized crystal structure of LaTb6Tm2.

```
data_LaTb6Tm2
_chemical_formula_sum 'La2 Tb12 Tm4'
_space_group_name_H-M_alt 'C 1 2/m 1'
_space_group_IT_number 12
_space_group_name_Hall '-C 2y'
_cell_length_a 18.5200
_cell_length_b 3.5749
_cell_length_c 8.7235
_cell_angle_alpha 90.00
_cell_angle_beta 90.33
_cell_angle_gamma 90.00
loop_
_atom_site_label
_atom_site_type_symbol
_atom_site_fract_x
_atom_site_fract_y
_atom_site_fract_z
La1 La 0.0000 0.0000 0.0000
Tb1 Tb 0.1110 0.0000 0.6640
Tb2 Tb 0.1683 0.5000 0.9988
Tb3 Tb 0.2215 0.0000 0.3356
Tm1 Tm 0.0559 0.5000 0.3370
```


The most stable of them is *Q*.


*P*
A plane-wave DFT calculation with PBE-GGA was carried out for an optimized crystal structure of LaTb7Tm2.

```
data_LaTb7Tm2
_chemical_formula_sum 'La2 Tb14 Tm4'
_space_group_name_H-M_alt 'C m m m'
_space_group_IT_number 65
_space_group_name_Hall '-C 2 2'
_cell_length_a 8.7992
_cell_length_b 15.9245
_cell_length_c 5.6948
_cell_angle_alpha 90.00
_cell_angle_beta 90.00
_cell_angle_gamma 90.00
loop_
_atom_site_label
_atom_site_type_symbol
_atom_site_fract_x
_atom_site_fract_y
_atom_site_fract_z
La1 La 0.0000 0.0000 0.0000
Tb1 Tb 0.0000 0.2245 0.0000
Tb2 Tb 0.0000 0.5000 0.5000
Tb3 Tb 0.1776 0.1178 0.5000
Tm1 Tm 0.0000 0.2966 0.5000
```


*Q*
A plane-wave DFT calculation with PBE-GGA was carried out for an optimized crystal structure of LaTb7Tm2.

```
data_LaTb7Tm2
_chemical_formula_sum 'La1 Tb7 Tm2'
_space_group_name_H-M_alt 'P -1'
_space_group_IT_number 2
_space_group_name_Hall '-P 1'
_cell_length_a 6.1805
_cell_length_b 7.1296
_cell_length_c 7.9672
_cell_angle_alpha 77.17
_cell_angle_beta 75.02
_cell_angle_gamma 73.30
loop_
_atom_site_label
_atom_site_type_symbol
_atom_site_fract_x
_atom_site_fract_y
_atom_site_fract_z
La1 La 0.0000 0.0000 0.0000
Tb1 Tb 0.0000 0.5000 0.0000
Tb2 Tb 0.1997 0.3014 0.5983
Tb3 Tb 0.3999 0.0998 0.2023
Tb4 Tb 0.4023 0.5984 0.2028
Tm1 Tm 0.1997 0.7998 0.5984
```


The most stable of them is *Q*.


*P*
A plane-wave DFT calculation with PBE-GGA was carried out for an optimized crystal structure of La4Tb3Tm.

```
data_La4Tb3Tm
_chemical_formula_sum 'La8 Tb6 Tm2'
_space_group_name_H-M_alt 'C 1 2/m 1'
_space_group_IT_number 12
_space_group_name_Hall '-C 2y'
_cell_length_a 25.1867
_cell_length_b 3.4700
_cell_length_c 6.2996
_cell_angle_alpha 90.00
_cell_angle_beta 92.55
_cell_angle_gamma 90.00
loop_
_atom_site_label
_atom_site_type_symbol
_atom_site_fract_x
_atom_site_fract_y
_atom_site_fract_z
La1 La 0.1057 0.0000 0.2390
La2 La 0.2202 0.5000 0.2472
Tb1 Tb 0.0000 0.0000 0.5000
Tb2 Tb 0.1403 0.0000 0.7457
Tm1 Tm 0.0000 0.5000 0.0000
```


*Q*
A plane-wave DFT calculation with PBE-GGA was carried out for an optimized crystal structure of La4Tb3Tm.

```
data_La4Tb3Tm
_chemical_formula_sum 'La8 Tb6 Tm2'
_space_group_name_H-M_alt 'C m m m'
_space_group_IT_number 65
_space_group_name_Hall '-C 2 2'
_cell_length_a 11.9822
_cell_length_b 13.4792
_cell_length_c 3.4299
_cell_angle_alpha 90.00
_cell_angle_beta 90.00
_cell_angle_gamma 90.00
loop_
_atom_site_label
_atom_site_type_symbol
_atom_site_fract_x
_atom_site_fract_y
_atom_site_fract_z
La1 La 0.0000 0.2470 0.0000
La2 La 0.2496 0.0000 0.5000
Tb1 Tb 0.0000 0.5000 0.0000
Tb2 Tb 0.2500 0.2500 0.5000
Tm1 Tm 0.0000 0.0000 0.0000
```


The most stable of them is *P*.


*P*
A plane-wave DFT calculation with PBE-GGA was carried out for an optimized crystal structure of La2TbTm2.

```
data_La2TbTm2
_chemical_formula_sum 'La8 Tb4 Tm8'
_space_group_name_H-M_alt 'I 4/m c m'
_space_group_IT_number 140
_space_group_name_Hall '-I 4 2c'
_cell_length_a 10.6040
_cell_length_b 10.6040
_cell_length_c 6.3667
_cell_angle_alpha 90.00
_cell_angle_beta 90.00
_cell_angle_gamma 90.00
loop_
_atom_site_label
_atom_site_type_symbol
_atom_site_fract_x
_atom_site_fract_y
_atom_site_fract_z
La1 La 0.1098 0.3902 0.0000
Tb1 Tb 0.0000 0.0000 0.2500
Tm1 Tm 0.1903 0.3097 0.5000
```


*Q*
A plane-wave DFT calculation with PBE-GGA was carried out for an optimized crystal structure of La2TbTm2.

```
data_La2TbTm2
_chemical_formula_sum 'La8 Tb4 Tm8'
_space_group_name_H-M_alt 'C 1 2/c 1'
_space_group_IT_number 15
_space_group_name_Hall '-C 2yc'
_cell_length_a 8.8078
_cell_length_b 9.6101
_cell_length_c 8.9114
_cell_angle_alpha 90.00
_cell_angle_beta 113.10
_cell_angle_gamma 90.00
loop_
_atom_site_label
_atom_site_type_symbol
_atom_site_fract_x
_atom_site_fract_y
_atom_site_fract_z
La1 La 0.1607 0.0883 0.1404
Tb1 Tb 0.0000 0.2077 0.7500
Tm1 Tm 0.0000 0.5000 0.0000
Tm2 Tm 0.2500 0.2500 0.5000
```


The most stable of them is *Q*.


*P*
A plane-wave DFT calculation with PBE-GGA was carried out for an optimized crystal structure of La3Tb2Tm3.

```
data_La3Tb2Tm3
_chemical_formula_sum 'La6 Tb4 Tm6'
_space_group_name_H-M_alt 'C 1 2/m 1'
_space_group_IT_number 12
_space_group_name_Hall '-C 2y'
_cell_length_a 16.5158
_cell_length_b 5.7548
_cell_length_c 6.0498
_cell_angle_alpha 90.00
_cell_angle_beta 110.53
_cell_angle_gamma 90.00
loop_
_atom_site_label
_atom_site_type_symbol
_atom_site_fract_x
_atom_site_fract_y
_atom_site_fract_z
La1 La 0.0000 0.0000 0.0000
La2 La 0.1360 0.0000 0.7004
Tb1 Tb 0.2488 0.5000 0.6793
Tm1 Tm 0.0000 0.5000 0.5000
Tm2 Tm 0.1328 0.5000 0.0811
```


*Q*
A plane-wave DFT calculation with PBE-GGA was carried out for an optimized crystal structure of La3Tb2Tm3.

```
data_La3Tb2Tm3
_chemical_formula_sum 'La6 Tb4 Tm6'
_space_group_name_H-M_alt 'I m m m'
_space_group_IT_number 71
_space_group_name_Hall '-I 2 2'
_cell_length_a 4.9974
_cell_length_b 5.1421
_cell_length_c 20.6495
_cell_angle_alpha 90.00
_cell_angle_beta 90.00
_cell_angle_gamma 90.00
loop_
_atom_site_label
_atom_site_type_symbol
_atom_site_fract_x
_atom_site_fract_y
_atom_site_fract_z
La1 La 0.0000 0.0000 0.0000
La2 La 0.0000 0.5000 0.1237
Tb1 Tb 0.0000 0.0000 0.2484
Tm1 Tm 0.0000 0.0000 0.5000
Tm2 Tm 0.0000 0.5000 0.3725
```


The most stable of them is *Q*.


*P*
A plane-wave DFT calculation with PBE-GGA was carried out for an optimized crystal structure of La3Tb4Tm4.

```
data_La3Tb4Tm4
_chemical_formula_sum 'La3 Tb4 Tm4'
_space_group_name_H-M_alt 'P -1'
_space_group_IT_number 2
_space_group_name_Hall '-P 1'
_cell_length_a 3.6015
_cell_length_b 5.0506
_cell_length_c 19.9583
_cell_angle_alpha 97.26
_cell_angle_beta 95.17
_cell_angle_gamma 90.02
loop_
_atom_site_label
_atom_site_type_symbol
_atom_site_fract_x
_atom_site_fract_y
_atom_site_fract_z
La1 La 0.0000 0.0000 0.0000
La2 La 0.3628 0.3630 0.7251
Tb1 Tb 0.1837 0.1836 0.3679
Tb2 Tb 0.4531 0.4537 0.9067
Tm1 Tm 0.0909 0.0904 0.1816
Tm2 Tm 0.2721 0.2722 0.5441
```


*Q*
A plane-wave DFT calculation with PBE-GGA was carried out for an optimized crystal structure of La3Tb4Tm4.

```
data_La3Tb4Tm4
_chemical_formula_sum 'La6 Tb8 Tm8'
_space_group_name_H-M_alt 'A m m 2'
_space_group_IT_number 38
_space_group_name_Hall 'A 2 -2'
_cell_length_a 10.6815
_cell_length_b 5.7190
_cell_length_c 12.0987
_cell_angle_alpha 90.00
_cell_angle_beta 90.00
_cell_angle_gamma 90.00
loop_
_atom_site_label
_atom_site_type_symbol
_atom_site_fract_x
_atom_site_fract_y
_atom_site_fract_z
La1 La 0.0000 0.0000 0.0000
La2 La 0.2875 0.0000 0.1579
Tb1 Tb 0.0000 0.0000 0.7017
Tb2 Tb 0.2173 0.0000 0.4954
Tb3 Tb 0.5000 0.0000 0.6353
Tm1 Tm 0.0000 0.0000 0.3059
Tm2 Tm 0.3024 0.0000 0.8532
Tm3 Tm 0.5000 0.0000 0.3626
```


The most stable of them is *P*.


*P*
A plane-wave DFT calculation with PBE-GGA was carried out for an optimized crystal structure of La3TbTm6.

```
data_La3TbTm6
_chemical_formula_sum 'La9 Tb3 Tm18'
_space_group_name_H-M_alt 'R 3'
_space_group_IT_number 146
_space_group_name_Hall 'R 3'
_cell_length_a 9.8805
_cell_length_b 9.8805
_cell_length_c 11.5583
_cell_angle_alpha 90.00
_cell_angle_beta 90.00
_cell_angle_gamma 120.00
loop_
_atom_site_label
_atom_site_type_symbol
_atom_site_fract_x
_atom_site_fract_y
_atom_site_fract_z
La1 La 0.0000 0.0000 0.0000
La2 La 0.0000 0.0000 0.2483
La3 La 0.0000 0.0000 0.4968
Tb1 Tb 0.0000 0.0000 0.7484
Tm1 Tm 0.0042 0.3290 0.4995
Tm2 Tm 0.0085 0.6707 0.6653
```


*Q*
A plane-wave DFT calculation with PBE-GGA was carried out for an optimized crystal structure of La3TbTm6.

```
data_La3TbTm6
_chemical_formula_sum 'La12 Tb4 Tm24'
_space_group_name_H-M_alt 'C m c 21'
_space_group_IT_number 36
_space_group_name_Hall 'C 2c -2'
_cell_length_a 11.4456
_cell_length_b 12.6101
_cell_length_c 9.4273
_cell_angle_alpha 90.00
_cell_angle_beta 90.00
_cell_angle_gamma 90.00
loop_
_atom_site_label
_atom_site_type_symbol
_atom_site_fract_x
_atom_site_fract_y
_atom_site_fract_z
La1 La 0.0000 0.0222 0.0000
La2 La 0.1964 0.3906 0.8983
Tb1 Tb 0.0000 0.2572 0.3198
Tm1 Tm 0.0000 0.2396 0.7209
Tm2 Tm 0.0000 0.4918 0.6389
Tm3 Tm 0.2211 0.0933 0.7181
Tm4 Tm 0.2378 0.3419 0.5540
```


The most stable of them is *Q*.


*P*
A plane-wave DFT calculation with PBE-GGA was carried out for an optimized crystal structure of La4Tb5Tm2.

```
data_La4Tb5Tm2
_chemical_formula_sum 'La8 Tb10 Tm4'
_space_group_name_H-M_alt 'I m m m'
_space_group_IT_number 71
_space_group_name_Hall '-I 2 2'
_cell_length_a 3.5125
_cell_length_b 9.3685
_cell_length_c 22.9000
_cell_angle_alpha 90.00
_cell_angle_beta 90.00
_cell_angle_gamma 90.00
loop_
_atom_site_label
_atom_site_type_symbol
_atom_site_fract_x
_atom_site_fract_y
_atom_site_fract_z
La1 La 0.0000 0.0000 0.0938
La2 La 0.0000 0.2884 0.5000
Tb1 Tb 0.0000 0.2005 0.3490
Tb2 Tb 0.0000 0.5000 0.0000
Tm1 Tm 0.0000 0.0000 0.2286
```


*Q*
A plane-wave DFT calculation with PBE-GGA was carried out for an optimized crystal structure of La4Tb5Tm2.

```
data_La4Tb5Tm2
_chemical_formula_sum 'La8 Tb10 Tm4'
_space_group_name_H-M_alt 'C 1 2/m 1'
_space_group_IT_number 12
_space_group_name_Hall '-C 2y'
_cell_length_a 23.7549
_cell_length_b 3.6245
_cell_length_c 8.8323
_cell_angle_alpha 90.00
_cell_angle_beta 104.61
_cell_angle_gamma 90.00
loop_
_atom_site_label
_atom_site_type_symbol
_atom_site_fract_x
_atom_site_fract_y
_atom_site_fract_z
La1 La 0.0447 0.0000 0.3608
La2 La 0.1817 0.5000 0.4534
Tb1 Tb 0.0000 0.5000 0.0000
Tb2 Tb 0.1363 0.0000 0.0850
Tb3 Tb 0.2271 0.0000 0.8240
Tm1 Tm 0.0922 0.5000 0.7321
```


The most stable of them is *Q*.


*P*
A plane-wave DFT calculation with PBE-GGA was carried out for an optimized crystal structure of La2Tb5Tm12.

```
data_La2Tb5Tm12
_chemical_formula_sum 'La4 Tb10 Tm24'
_space_group_name_H-M_alt 'C 1 2/m 1'
_space_group_IT_number 12
_space_group_name_Hall '-C 2y'
_cell_length_a 15.7122
_cell_length_b 9.1872
_cell_length_c 8.4600
_cell_angle_alpha 90.00
_cell_angle_beta 91.40
_cell_angle_gamma 90.00
loop_
_atom_site_label
_atom_site_type_symbol
_atom_site_fract_x
_atom_site_fract_y
_atom_site_fract_z
La1 La 0.0000 0.1900 0.0000
Tb1 Tb 0.0000 0.5000 0.5000
Tb2 Tb 0.1977 0.0000 0.0067
Tb3 Tb 0.2338 0.5000 0.5782
Tm1 Tm 0.0563 0.0000 0.3276
Tm2 Tm 0.0946 0.5000 0.8830
Tm3 Tm 0.1265 0.1909 0.6492
Tm4 Tm 0.1571 0.3199 0.2481
```


*Q*
A plane-wave DFT calculation with PBE-GGA was carried out for an optimized crystal structure of La2Tb5Tm12.

```
data_La2Tb5Tm12
_chemical_formula_sum 'La2 Tb5 Tm12'
_space_group_name_H-M_alt 'P -1'
_space_group_IT_number 2
_space_group_name_Hall '-P 1'
_cell_length_a 6.6093
_cell_length_b 8.7200
_cell_length_c 11.7153
_cell_angle_alpha 77.19
_cell_angle_beta 76.46
_cell_angle_gamma 68.27
loop_
_atom_site_label
_atom_site_type_symbol
_atom_site_fract_x
_atom_site_fract_y
_atom_site_fract_z
La1 La 0.1716 0.0477 0.3641
Tb1 Tb 0.0666 0.2925 0.0411
Tb2 Tb 0.2188 0.5783 0.4950
Tb3 Tb 0.5000 0.5000 0.0000
Tm1 Tm 0.1156 0.4983 0.2441
Tm2 Tm 0.1172 0.8865 0.1291
Tm3 Tm 0.2558 0.1723 0.6134
Tm4 Tm 0.4023 0.7617 0.6705
Tm5 Tm 0.4255 0.3685 0.7638
Tm6 Tm 0.4324 0.9659 0.8794
```


The most stable of them is *Q*.


*P*
A plane-wave DFT calculation with PBE-GGA was carried out for an optimized crystal structure of La3TbTm4.

```
data_La3TbTm4
_chemical_formula_sum 'La6 Tb2 Tm8'
_space_group_name_H-M_alt 'I m m m'
_space_group_IT_number 71
_space_group_name_Hall '-I 2 2'
_cell_length_a 3.4829
_cell_length_b 11.7519
_cell_length_c 13.0889
_cell_angle_alpha 90.00
_cell_angle_beta 90.00
_cell_angle_gamma 90.00
loop_
_atom_site_label
_atom_site_type_symbol
_atom_site_fract_x
_atom_site_fract_y
_atom_site_fract_z
La1 La 0.0000 0.0000 0.0000
La2 La 0.0000 0.5000 0.2444
Tb1 Tb 0.0000 0.0000 0.5000
Tm1 Tm 0.0000 0.2452 0.3654
```


*Q*
A plane-wave DFT calculation with PBE-GGA was carried out for an optimized crystal structure of La3TbTm4.

```
data_La3TbTm4
_chemical_formula_sum 'La6 Tb2 Tm8'
_space_group_name_H-M_alt 'P m n 21'
_space_group_IT_number 31
_space_group_name_Hall 'P 2ac -2'
_cell_length_a 11.5180
_cell_length_b 7.3061
_cell_length_c 6.3006
_cell_angle_alpha 90.00
_cell_angle_beta 90.00
_cell_angle_gamma 90.00
loop_
_atom_site_label
_atom_site_type_symbol
_atom_site_fract_x
_atom_site_fract_y
_atom_site_fract_z
La1 La 0.0000 0.1289 0.0000
La2 La 0.2494 0.1259 0.3344
Tb1 Tb 0.0000 0.8668 0.4992
Tm1 Tm 0.0000 0.3814 0.5000
Tm2 Tm 0.0000 0.6207 0.0038
Tm3 Tm 0.2483 0.6191 0.3346
```


The most stable of them is *Q*.